Record 1
AgGeO3: single point on PBEsol structure, SCAN.

abc: 3.175 5.396 7.483
angles: 90.00 90.00 90.00
Space group Pmc2_1 (No. 26)
Inequivalent atoms, fractional coordinates:
Ag: 0.000 0.001 0.000 [2 per cell]
Ge: 0.500 0.437 0.251 [2 per cell]
O: 0.000 0.403 0.750 [2 per cell]
O: 0.500 0.239 0.442 [2 per cell]
O: 0.500 0.241 0.058 [2 per cell]

Results
E_tot ... -74.25 eV/f.u.
Spin magnetization ... 0.01 μB/cell

Record 2
AgGeO3: single point on PBEsol structure, SCAN.

abc: 3.741 3.741 3.741
angles: 90.00 90.00 90.00
Space group Pm-3m (No. 221)
Inequivalent atoms, fractional coordinates:
Ag: 0.000 0.000 0.000 [1 per cell]
Ge: 0.500 0.500 0.500 [1 per cell]
O: 0.000 0.500 0.500 [3 per cell]

Results
E_tot ... -73.21 eV/f.u.
Spin magnetization ... 1.01 μB/cell

Record 3
Ag3GeO: single point on PBEsol structure, SCAN.

abc: 4.387 4.387 4.387
angles: 90.00 90.00 90.00
Space group Pm-3m (No. 221)
Inequivalent atoms, fractional coordinates:
Ag: 0.000 0.000 0.500 [3 per cell]
Ge: 0.500 0.500 0.500 [1 per cell]
O: 0.000 0.000 0.000 [1 per cell]

Results
E_tot ... -118.21 eV/f.u.
Spin magnetization ... 0.00 μB/cell

Record 4
Ag5GeO4: single point on PBEsol structure, SCAN.

abc: 6.426 9.803 10.919
angles: 90.00 124.56 90.00
Space group P2_1/c (No. 14)
Inequivalent atoms, fractional coordinates:
Ag: 0.067 0.081 0.410 [4 per cell]
Ag: 0.201 0.622 0.423 [4 per cell]
Ag: 0.327 0.094 0.802 [4 per cell]
Ag: 0.348 0.125 0.058 [4 per cell]
Ag: 0.398 0.645 0.121 [4 per cell]
Ge: 0.245 0.613 0.758 [4 per cell]
O: 0.076 0.711 0.591 [4 per cell]
O: 0.111 0.642 0.861 [4 per cell]
O: 0.219 0.065 0.222 [4 per cell]
O: 0.429 0.156 0.640 [4 per cell]

Results
E_tot ... -207.24 eV/f.u.
Spin magnetization ... 0.00 μB/cell

Record 5
Ag3GeOs: single point on PBEsol structure, SCAN.

abc: 4.622 4.622 4.622
angles: 90.00 90.00 90.00
Space group Pm-3m (No. 221)
Inequivalent atoms, fractional coordinates:
Ag: 0.000 0.000 0.500 [3 per cell]
Ge: 0.000 0.000 0.000 [1 per cell]
Os: 0.500 0.500 0.500 [1 per cell]

Results
E_tot ... -177.42 eV/f.u.
Spin magnetization ... 2.15 μB/cell

Record 6
Ag2SnGeOs: single point on PBEsol structure, SCAN.

abc: 4.964 4.964 4.951
angles: 90.00 90.00 90.00
Space group P4/mmm (No. 123)
Inequivalent atoms, fractional coordinates:
Ag: 0.000 0.500 0.000 [2 per cell]
Sn: 0.000 0.000 0.000 [1 per cell]
Ge: 0.500 0.500 0.500 [1 per cell]
Os: 0.000 0.000 0.500 [1 per cell]

Results
E_tot ... -182.15 eV/f.u.
Spin magnetization ... 1.37 μB/cell

Record 7
AgGe3P: single point on PBEsol structure, SCAN.

abc: 4.645 4.645 4.645
angles: 90.00 90.00 90.00
Space group Pm-3m (No. 221)
Inequivalent atoms, fractional coordinates:
Ag: 0.000 0.000 0.000 [1 per cell]
Ge: 0.000 0.500 0.500 [3 per cell]
P: 0.500 0.500 0.500 [1 per cell]

Results
E_tot ... -95.09 eV/f.u.
Spin magnetization ... 0.00 μB/cell

Record 8
Ag3Sn2Ge3P6: single point on PBEsol structure, SCAN.

abc: 10.416 10.416 10.416
angles: 90.00 90.00 90.00
Space group I-43m (No. 217)
Inequivalent atoms, fractional coordinates:
Ag: 0.000 0.000 0.195 [12 per cell]
Sn: 0.204 0.204 0.204 [8 per cell]
Ge: 0.000 0.250 0.500 [12 per cell]
P: 0.125 0.125 0.638 [24 per cell]

Results
E_tot ... -286.21 eV/f.u.
Spin magnetization ... 0.00 μB/cell

Record 9
AgGePb2: single point on PBEsol structure, SCAN.

abc: 7.231 7.231 7.231
angles: 90.00 90.00 90.00
Space group Fm-3m (No. 225)
Inequivalent atoms, fractional coordinates:
Ag: 0.000 0.000 0.000 [4 per cell]
Ge: 0.000 0.000 0.500 [4 per cell]
Pb: 0.250 0.250 0.250 [8 per cell]

Results
E_tot ... -200.95 eV/f.u.
Spin magnetization ... 0.00 μB/cell

Record 10
TaAgGePd2: single point on PBEsol structure, SCAN.

abc: 4.753 4.753 4.780
angles: 90.00 90.00 90.00
Space group P4/mmm (No. 123)
Inequivalent atoms, fractional coordinates:
Ta: 0.000 0.000 0.000 [1 per cell]
Ag: 0.000 0.000 0.500 [1 per cell]
Ge: 0.500 0.500 0.000 [1 per cell]
Pd: 0.000 0.500 0.500 [2 per cell]

Results
E_tot ... -174.95 eV/f.u.
Spin magnetization ... 0.00 μB/cell

Record 11
PrAgGe: single point on PBEsol structure, SCAN.

abc: 4.5088 4.5088 7.5713
angles: 90.00 90.00 120.00
Space group P6_3mc (No. 186)
Inequivalent atoms, fractional coordinates:
Pr: 0.0000 0.0000 0.0000 [2 per cell]
Ag: 0.3333 0.6667 0.2735 [2 per cell]
Ge: 0.3333 0.6667 0.7134 [2 per cell]

Results
E_tot ... -95.92 eV/f.u.
Spin magnetization ... 0.00 μB/cell

Record 12
PrAg2Ge2: single point on PBEsol structure, SCAN.

abc: 4.253 4.253 10.922
angles: 90.00 90.00 90.00
Space group I4/mmm (No. 139)
Inequivalent atoms, fractional coordinates:
Pr: 0.000 0.000 0.000 [2 per cell]
Ag: 0.000 0.500 0.250 [4 per cell]
Ge: 0.000 0.000 0.389 [4 per cell]

Results
E_tot ... -146.84 eV/f.u.
Spin magnetization ... 0.00 μB/cell

Volume values, unit Å³/cell, following the record order: 128.21; 52.37; 84.41; 566.48; 98.77; 121.97; 100.19; 1130.15; 378.10; 107.97; 133.30; 197.56.